A plane-wave DFT calculation with PBE-GGA was carried out for a relaxed structure of Y4InBiO.

Cell lengths 6.4819, 17.2587, 6.4378 Å; angles 90.00, 90.00, 90.00 degrees
Last column: nearest neighbours and their distance in Å.
Space group Cmcm (No. 63)
Asymmetric unit:
1 Y 0.0000 0.0655 0.2500  3 In 3.11-3.33, 2 Bi 3.33
2 Y 0.0000 0.4183 0.2500  1 O 2.44
3 Y 0.2500 0.2500 0.0000  2 O 2.33
4 In 0.0000 0.1145 0.7500  9 Y 3.11-3.33
5 Bi 0.0000 0.3906 0.7500  9 Y 3.25-3.33
6 O 0.0000 0.2767 0.2500  5 Y 2.33-2.44

Output
The magnetic moment is 0.00 Bohr magnetons per cell. As for the energy: -6.56 eV/atom. The value obtained for the formation energy from raw total energies is -1.212 eV per atom.